A plane-wave DFT calculation with PBE was carried out for a relaxed Li2CdSnO4 crystal.

Geometry as POSCAR:
```
Li2CdSnO4
1.0
4.987 0.000 0.000
0.000 4.987 0.000
0.000 0.000 8.524
Li Cd Sn O
4 2 2 8
direct
0.000 0.500 0.250 Li
0.000 0.500 0.750 Li
0.500 0.000 0.250 Li
0.500 0.000 0.750 Li
0.000 0.000 0.000 Cd
0.500 0.500 0.500 Cd
0.000 0.000 0.500 Sn
0.500 0.500 0.000 Sn
0.230 0.230 0.365 O
0.230 0.770 0.635 O
0.270 0.270 0.865 O
0.270 0.730 0.135 O
0.730 0.270 0.135 O
0.730 0.730 0.865 O
0.770 0.230 0.635 O
0.770 0.770 0.365 O
```

Output
Size of the total moment (μB/f.u.): 0.00
Formation energy without anion corrections (meV/atom): -1602.7
Space group: No. 121